Here is an optimized crystal structure of ZrTlReIr2 from the Alexandria database. Energies are from GGA-PBE.

Lattice parameters (Å, degrees): 4.8044 4.8044 5.0435 90.00 90.00 90.00
Closest atoms and distances in Å follow each position.
Space group P4/mmm (No. 123)
Inequivalent atoms, fractional coordinates:
Zr 0.0000 0.0000 0.0000 x1  2 Re 2.52
Tl 0.5000 0.5000 0.0000 x1  4 Zr 3.40, 8 Ir 3.48
Re 0.0000 0.0000 0.5000 x1  4 Ir 2.40, 2 Zr 2.52
Ir 0.0000 0.5000 0.5000 x2  2 Re 2.40

Calculated formation energy   0.985 eV/atom
Size of the total moment   0.00 μB per cell